# Tl2GaPb2 | Alexandria | PBE | relaxed
data_Tl2GaPb2
_chemical_formula_sum 'Tl4 Ga2 Pb4'
_symmetry_space_group_name_H-M 'P 4/m b m'
_symmetry_Int_Tables_number 127
_symmetry_space_group_name_Hall '-P 4 2ab'
_cell_length_a 8.880
_cell_length_b 8.880
_cell_length_c 3.953
_cell_angle_alpha 90.00
_cell_angle_beta 90.00
_cell_angle_gamma 90.00
loop_
_atom_site_label
_atom_site_fract_x
_atom_site_fract_y
_atom_site_fract_z
Tl1 0.146 0.354 0.000
Ga1 0.000 0.000 0.000
Pb1 0.154 0.654 0.500
# - ΔE to the lowest computed polymorph: 176.3 meV/atom